Record 1
DFT (PBE) results for a relaxed CeRe crystal.

Computed properties:
Fermi-level density of states ... 5.83 states/eV/cell
Formation enthalpy at 0 K ... 232 meV per atom
Space-group type ... P2_1/m

Unit cell a=3.135 b=5.476 c=5.158 alpha=106.07 beta=90.00 gamma=90.00
Element x y z (fractional)
Ce 0.250 0.703 0.304
Ce 0.750 0.297 0.696
Re 0.750 0.177 0.158
Re 0.250 0.823 0.842

=====

Record 2
DFT (PBE) results for a relaxed TmThW crystal.

Computed properties:
Fermi-level density of states ... 6.00 states/eV/cell
Formation enthalpy at 0 K ... 292 meV per atom
Space-group type ... C2/m

Unit cell a=3.515 b=5.136 c=9.279 alpha=106.07 beta=75.27 gamma=90.00
Element x y z (fractional)
W 0.675 0.052 0.105
W 0.325 0.948 0.895
Th 0.798 0.210 0.421
Th 0.202 0.790 0.579
Tm 0.850 0.417 0.835
Tm 0.150 0.583 0.165

=====

Record 3
DFT (PBE) results for a relaxed Sr2SBr2 crystal.

Computed properties:
Fermi-level density of states ... 0.00 states/eV/cell
Space-group type ... Cmc2_1
Energy relative to the elements, uncorrected ... -46.35 kcal/mol of atoms

Unit cell a=4.480 b=7.824 c=10.933 alpha=90.00 beta=101.82 gamma=90.00
Element x y z (fractional)
Br 0.940 0.713 0.881
Br 0.060 0.213 0.119
Br 0.268 0.808 0.535
Br 0.732 0.308 0.465
Sr 0.169 0.527 0.337
Sr 0.831 0.027 0.663
Sr 0.521 0.945 0.041
Sr 0.479 0.445 0.959
S 0.408 0.141 0.815
S 0.592 0.641 0.185